(1)
! NdSmPtRh GGA-PBE relaxed; values from VASP
! V = 22.5 A^3/atom
! SG = F-43m (216)
! E_form = -0.88 eV/atom
&SYSTEM
  ibrav = 0, nat = 4, ntyp = 4
/
ATOMIC_SPECIES
Sm 150.36 Sm.upf
Rh 102.91 Rh.upf
Pt 195.08 Pt.upf
Nd 144.24 Nd.upf
ATOMIC_POSITIONS angstrom
Sm 0.0000 0.0000 0.0000
Rh 2.5145 1.4518 1.0265
Pt 7.5436 4.3553 3.0796
Nd 5.0290 2.9035 2.0531
CELL_PARAMETERS angstrom
5.0290 0.0000 0.0000
2.5145 4.3553 0.0000
2.5145 1.4518 4.1062

(2)
! NdSnPtRh GGA-PBE relaxed; values from VASP
! V = 20.3 A^3/atom
! SG = F-43m (216)
! E_form = -0.69 eV/atom
&SYSTEM
  ibrav = 0, nat = 4, ntyp = 4
/
ATOMIC_SPECIES
Pt 195.08 Pt.upf
Sn 118.71 Sn.upf
Nd 144.24 Nd.upf
Rh 102.91 Rh.upf
ATOMIC_POSITIONS angstrom
Pt 1.5647 -5.0300 -7.2017
Sn 1.0431 -3.3533 -4.8012
Nd 0.0000 0.0000 0.0000
Rh 0.5216 -1.6767 -2.4006
CELL_PARAMETERS angstrom
-1.4726 -1.0334 -4.5114
3.2596 -1.1222 -3.4213
0.2992 -4.5511 -1.6696

(3)
! Nd2Sn3Pt4Rh GGA-PBE relaxed; values from VASP
! V = 21.5 A^3/atom
! SG = P-4m2 (115)
! E_form = -0.75 eV/atom
&SYSTEM
  ibrav = 0, nat = 10, ntyp = 4
/
ATOMIC_SPECIES
Rh 102.91 Rh.upf
Pt 195.08 Pt.upf
Sn 118.71 Sn.upf
Nd 144.24 Nd.upf
ATOMIC_POSITIONS angstrom
Rh 6.1283 1.9173 2.4362
Pt 7.3919 3.8553 0.8194
Pt 0.2247 0.0679 2.9315
Sn 9.8787 4.6344 0.6107
Nd 9.0993 1.3084 0.7474
Pt 0.0000 0.0000 0.0000
Sn 2.1532 -0.8676 1.3302
Nd 2.9326 2.4583 1.1935
Pt 4.6399 -0.0886 1.1216
Sn 5.9036 1.8494 -0.4953
CELL_PARAMETERS angstrom
-0.6543 2.8743 2.9339
1.1037 -2.7386 2.9291
11.8072 3.6989 -0.9906

(4)
! Nd2Sn4PtRh3 GGA-PBE relaxed; values from VASP
! V = 21.9 A^3/atom
! SG = P-4m2 (115)
! E_form = -0.73 eV/atom
&SYSTEM
  ibrav = 0, nat = 10, ntyp = 4
/
ATOMIC_SPECIES
Sn 118.71 Sn.upf
Rh 102.91 Rh.upf
Nd 144.24 Nd.upf
Pt 195.08 Pt.upf
ATOMIC_POSITIONS angstrom
Sn -4.0793 -0.7024 5.9919
Rh -3.2182 1.1519 4.2686
Nd -3.0367 2.0768 7.7019
Nd -1.5904 -1.5933 2.6905
Sn -0.5478 1.1860 4.4006
Sn 0.0000 0.0000 0.0000
Rh 0.9642 0.6448 2.3950
Sn 1.8092 -1.8202 1.8552
Rh -5.5914 -0.1612 7.9974
Pt -1.4090 -0.6683 6.1238
CELL_PARAMETERS angstrom
-0.0023 -4.3242 1.1651
3.6208 0.6838 2.5453
-6.4364 2.3037 8.5372

(5)
! Nd2Sn3PtRh4 GGA-PBE relaxed; values from VASP
! V = 21.1 A^3/atom
! SG = P-4m2 (115)
! E_form = -0.67 eV/atom
&SYSTEM
  ibrav = 0, nat = 10, ntyp = 4
/
ATOMIC_SPECIES
Nd 144.24 Nd.upf
Rh 102.91 Rh.upf
Sn 118.71 Sn.upf
Pt 195.08 Pt.upf
ATOMIC_POSITIONS angstrom
Nd -8.6164 -1.6018 0.2009
Rh 0.0000 0.0000 0.0000
Sn -9.9699 0.0588 2.8766
Rh -4.4615 -0.7262 -0.9582
Pt -6.4777 1.0087 -0.3003
Rh -0.9695 2.1694 -1.8369
Nd -3.3694 1.4497 1.0353
Rh -7.5244 0.5742 2.1944
Sn -2.0159 -0.2109 -1.6404
Sn -5.5081 -1.1607 1.5365
CELL_PARAMETERS angstrom
-0.7637 4.1586 0.4038
-1.1754 0.1801 -4.0775
-11.0163 -2.3214 3.0730

(6)
! NdYPtRh GGA-PBE relaxed; values from VASP
! V = 22.9 A^3/atom
! SG = Amm2 (38)
! E_form = -0.97 eV/atom
&SYSTEM
  ibrav = 0, nat = 4, ntyp = 4
/
ATOMIC_SPECIES
Rh 102.91 Rh.upf
Y 88.91 Y.upf
Nd 144.24 Nd.upf
Pt 195.08 Pt.upf
ATOMIC_POSITIONS angstrom
Rh 0.0000 0.0000 4.4090
Y 1.9422 2.1950 3.8896
Nd 0.0000 0.0000 1.5516
Pt 1.9422 2.1950 0.8911
CELL_PARAMETERS angstrom
3.8845 0.0000 0.0000
0.0000 4.3900 0.0000
-1.9422 0.0000 5.3706

(7)
! NdYPtRh GGA-PBE relaxed; values from VASP
! V = 21.9 A^3/atom
! SG = F-43m (216)
! E_form = -0.92 eV/atom
&SYSTEM
  ibrav = 0, nat = 4, ntyp = 4
/
ATOMIC_SPECIES
Rh 102.91 Rh.upf
Y 88.91 Y.upf
Nd 144.24 Nd.upf
Pt 195.08 Pt.upf
ATOMIC_POSITIONS angstrom
Rh 1.3515 -1.5647 2.2473
Y 2.7030 -3.1295 4.4945
Nd 0.0000 0.0000 0.0000
Pt 4.0546 -4.6942 6.7418
CELL_PARAMETERS angstrom
-0.5867 -3.6565 3.3397
3.8447 -2.9552 1.1629
2.1480 0.3527 4.4865

(8)
! Nd2Zn5PtRh2 GGA-PBE relaxed; values from VASP
! V = 18.2 A^3/atom
! SG = P4/mbm (127)
! E_form = -0.46 eV/atom
&SYSTEM
  ibrav = 0, nat = 20, ntyp = 4
/
ATOMIC_SPECIES
Zn 65.41 Zn.upf
Rh 102.91 Rh.upf
Nd 144.24 Nd.upf
Pt 195.08 Pt.upf
ATOMIC_POSITIONS angstrom
Zn 1.8882 6.7809 4.3902
Rh 0.0000 3.7032 1.2076
Nd 0.0000 8.0554 6.6768
Rh 0.0000 1.2076 6.1184
Zn 1.8882 1.8702 0.5205
Zn 1.8882 7.9513 9.3010
Nd 0.0000 3.1447 8.0554
Pt 0.0000 0.0000 0.0000
Zn 1.8882 5.4313 6.7809
Rh 0.0000 6.1184 8.6139
Zn 1.8882 0.5205 7.9513
Zn 1.8882 3.0406 5.4313
Nd 0.0000 6.6768 1.7661
Zn 1.8882 4.3902 3.0406
Zn 1.8882 9.3010 1.8702
Zn 1.8882 4.9108 0.0000
Zn 1.8882 0.0000 4.9108
Nd 0.0000 1.7661 3.1447
Rh 0.0000 8.6139 3.7032
Pt 0.0000 4.9108 4.9108
CELL_PARAMETERS angstrom
3.7763 0.0000 0.0000
0.0000 9.8215 0.0000
0.0000 0.0000 9.8215

(9)
! Nd2Zn4Pt3Rh GGA-PBE relaxed; values from VASP
! V = 19.0 A^3/atom
! SG = P-4m2 (115)
! E_form = -0.72 eV/atom
&SYSTEM
  ibrav = 0, nat = 10, ntyp = 4
/
ATOMIC_SPECIES
Rh 102.91 Rh.upf
Pt 195.08 Pt.upf
Zn 65.41 Zn.upf
Nd 144.24 Nd.upf
ATOMIC_POSITIONS angstrom
Rh -0.7414 -2.2098 5.7306
Pt 0.7677 0.3105 5.3691
Pt -0.6911 0.0446 9.5415
Zn 0.0000 0.0000 0.0000
Nd 1.6327 -1.5738 7.9592
Zn -1.0436 -0.0979 7.0767
Nd -1.6064 -0.3255 3.1406
Pt 0.7175 -1.9439 1.5582
Zn -1.5091 -2.5203 0.3615
Zn 1.0699 -1.8014 4.0230
CELL_PARAMETERS angstrom
-4.0205 -0.9778 0.6314
1.0024 -4.0628 0.0916
1.5354 0.6209 10.7382

(10)
! Nd4Ru2Pt GGA-PBE relaxed; values from VASP
! V = 24.8 A^3/atom
! SG = Cc (9)
! E_form = -0.40 eV/atom
&SYSTEM
  ibrav = 0, nat = 14, ntyp = 3
/
ATOMIC_SPECIES
Pt 195.08 Pt.upf
Nd 144.24 Nd.upf
Ru 101.07 Ru.upf
ATOMIC_POSITIONS angstrom
Pt -0.4077 -1.6220 4.6717
Pt -4.7945 -4.1793 4.1957
Nd -2.4349 -5.5515 2.1370
Ru -2.9822 -3.0106 0.7498
Ru -5.3654 -0.6245 1.5691
Nd -1.9394 2.1162 5.5946
Nd -5.2454 1.8860 0.4235
Nd -2.4780 -0.3521 0.1958
Ru -2.7844 1.5105 2.3185
Ru 0.2109 -4.8131 4.2180
Nd -0.3592 -2.7703 2.0219
Nd -3.3748 -1.2427 3.6080
Nd -3.7767 -4.6977 -1.4878
Nd -5.4061 -1.4081 -1.2498
CELL_PARAMETERS angstrom
-3.8502 -5.6555 -4.1289
3.2059 -2.9454 6.7046
-4.6485 4.8167 1.8192

(11)
! Nd6Ru2Pt GGA-PBE relaxed; values from VASP
! V = 29.5 A^3/atom
! SG = C2/m (12)
! E_form = -0.34 eV/atom
&SYSTEM
  ibrav = 0, nat = 9, ntyp = 3
/
ATOMIC_SPECIES
Nd 144.24 Nd.upf
Pt 195.08 Pt.upf
Ru 101.07 Ru.upf
ATOMIC_POSITIONS angstrom
Nd -5.2850 0.0073 -3.9874
Nd -4.6526 -2.9037 -1.6340
Pt -6.6546 -0.8098 -1.5155
Nd -9.1493 1.0680 -5.8981
Ru -10.4782 0.1926 -3.4279
Nd -8.5169 -1.8430 -3.5447
Nd -11.7427 -1.2796 -5.5015
Ru -3.3237 -2.0284 -4.1042
Nd -2.0592 -0.5562 -2.0306
CELL_PARAMETERS angstrom
-0.4927 -0.2162 -4.5012
-4.0768 -5.0713 -1.5929
-9.2324 3.4518 -1.4380

(12)
! Nd5Ru2Pt GGA-PBE relaxed; values from VASP
! V = 25.8 A^3/atom
! SG = I4/mcm (140)
! E_form = -0.44 eV/atom
&SYSTEM
  ibrav = 0, nat = 16, ntyp = 3
/
ATOMIC_SPECIES
Pt 195.08 Pt.upf
Nd 144.24 Nd.upf
Ru 101.07 Ru.upf
ATOMIC_POSITIONS angstrom
Pt -2.1579 -4.4862 4.1239
Nd -1.6296 -5.3323 1.0318
Ru -4.4150 -5.7752 0.3306
Nd 1.0627 -4.1936 3.8105
Nd -4.1758 -3.0838 1.6746
Nd -4.4700 -2.4003 5.0507
Ru -6.6190 -3.6966 3.3366
Nd -4.8970 -6.0376 3.3199
Nd -1.2027 -1.6950 2.7627
Nd 4.7570 0.1490 3.2533
Ru -1.7325 -2.4709 0.0126
Nd 4.3300 -3.4883 1.5224
Pt 2.0179 -1.4024 2.4493
Nd 1.4896 -0.5563 5.5413
Ru -3.9366 -0.3924 3.0186
Nd 0.0000 0.0000 0.0000
CELL_PARAMETERS angstrom
-5.6759 0.8380 5.1561
-2.6757 -7.0056 -1.8068
8.2116 0.2790 3.2239

(13)
! Nd8Ru3Pt2 GGA-PBE relaxed; values from VASP
! V = 27.1 A^3/atom
! SG = Cmmm (65)
! E_form = -0.45 eV/atom
&SYSTEM
  ibrav = 0, nat = 13, ntyp = 3
/
ATOMIC_SPECIES
Ru 101.07 Ru.upf
Nd 144.24 Nd.upf
Pt 195.08 Pt.upf
ATOMIC_POSITIONS angstrom
Ru -0.3872 1.5902 1.8697
Ru -7.2629 -0.2702 5.3305
Ru 5.5884 -3.2156 3.8921
Nd 0.0592 2.1132 4.8197
Pt -3.0101 -2.8747 5.1239
Pt 1.3355 -0.6111 4.0986
Nd -3.5038 -3.3397 2.1148
Nd 4.3814 -0.5743 4.6980
Nd -1.7338 -5.5991 4.4029
Nd -1.7135 -0.6002 3.4580
Nd 0.0390 -2.8856 5.7646
Nd -6.0560 -2.9116 4.5245
Nd 2.6036 -3.3266 3.3684
CELL_PARAMETERS angstrom
-0.7744 3.1804 3.7394
-8.6350 -4.5913 2.1168
7.7348 -2.0749 3.3664

(14)
! Nd8RuPt2 GGA-PBE relaxed; values from VASP
! V = 30.1 A^3/atom
! SG = Cm (8)
! E_form = -0.39 eV/atom
&SYSTEM
  ibrav = 0, nat = 11, ntyp = 3
/
ATOMIC_SPECIES
Nd 144.24 Nd.upf
Pt 195.08 Pt.upf
Ru 101.07 Ru.upf
ATOMIC_POSITIONS angstrom
Nd 4.5252 5.4671 -1.8729
Pt 1.5533 4.6930 -0.0499
Nd 0.1654 6.2117 2.0483
Pt 2.2383 2.1057 3.8724
Nd 3.4954 0.5355 1.7798
Nd 0.6469 4.3932 4.8052
Nd 3.5538 4.3579 2.2539
Ru 1.0747 0.0397 -0.1615
Nd 0.2754 2.3945 1.5314
Nd 5.6426 1.2464 4.5257
Nd 3.0100 2.3691 -0.9999
CELL_PARAMETERS angstrom
6.3411 -0.0009 -1.1081
-2.1057 6.8617 -2.8882
-0.2510 -0.1434 7.7314

(15)
! Nd6Ru2Pt GGA-PBE relaxed; values from VASP
! V = 27.0 A^3/atom
! SG = Immm (71)
! E_form = -0.37 eV/atom
&SYSTEM
  ibrav = 0, nat = 18, ntyp = 3
/
ATOMIC_SPECIES
Nd 144.24 Nd.upf
Pt 195.08 Pt.upf
Ru 101.07 Ru.upf
ATOMIC_POSITIONS angstrom
Nd 3.3359 5.3120 0.5706
Nd 5.4956 1.8188 -2.4824
Pt 5.9047 3.5648 0.0981
Pt 0.0000 0.0000 0.0000
Nd -0.2099 4.5408 0.2967
Nd 3.9587 2.5123 2.8489
Nd -0.4758 1.8486 6.1124
Ru 1.1655 7.0530 1.3184
Nd 5.4307 0.1314 0.7682
Nd 1.2928 5.1268 3.6124
Ru 1.3979 4.4151 -1.9764
Nd -1.7469 5.2343 5.6280
Nd 0.4129 1.7410 2.5751
Nd -1.6820 6.9217 2.3775
Nd 2.4560 1.9263 -0.4667
Nd 4.2245 5.2045 -2.9668
Ru 2.5832 0.0000 1.8274
Ru 2.3509 2.6379 5.1221
CELL_PARAMETERS angstrom
8.0613 0.0777 -2.9504
-4.2145 7.0531 -2.4875
-0.0981 -0.0778 8.5836

(16)
! Nd6RuPt2 GGA-PBE relaxed; values from VASP
! V = 29.6 A^3/atom
! SG = P2_1/c (14)
! E_form = -0.59 eV/atom
&SYSTEM
  ibrav = 0, nat = 18, ntyp = 3
/
ATOMIC_SPECIES
Nd 144.24 Nd.upf
Pt 195.08 Pt.upf
Ru 101.07 Ru.upf
ATOMIC_POSITIONS angstrom
Nd -1.1202 -7.9243 3.9113
Nd -2.5727 -8.9609 7.1789
Nd -2.1385 -4.2491 4.6255
Nd -3.7785 -8.0683 1.2550
Nd -4.1871 -10.8378 4.0768
Nd -0.8908 -5.2779 1.1006
Nd -3.3444 -3.3564 -1.2984
Pt -0.8920 -8.1745 0.5313
Nd -2.3078 -7.0640 -2.0145
Pt -5.0250 -4.1429 5.3492
Nd -4.7969 -4.3930 1.9692
Nd -3.6093 -5.2533 7.8950
Nd -5.0262 -7.0394 4.7799
Pt -4.7140 -5.9400 -0.7360
Ru -0.9022 -4.7255 -1.6174
Pt -1.2031 -6.3774 6.6165
Nd -1.7300 -1.4796 1.8037
Ru -2.0564 -1.4332 4.5576
CELL_PARAMETERS angstrom
-5.4857 -2.9230 -2.8430
3.6814 -6.5279 -0.3917
-4.1128 -2.8664 9.1152

(17)
! Nd8RuPt2 GGA-PBE relaxed; values from VASP
! V = 28.6 A^3/atom
! SG = C2/m (12)
! E_form = -0.45 eV/atom
&SYSTEM
  ibrav = 0, nat = 11, ntyp = 3
/
ATOMIC_SPECIES
Nd 144.24 Nd.upf
Pt 195.08 Pt.upf
Ru 101.07 Ru.upf
ATOMIC_POSITIONS angstrom
Nd 2.5473 -0.5288 8.2150
Nd 2.5473 2.6921 1.8102
Nd 2.5473 6.0554 3.4479
Nd 2.5473 3.3737 5.5581
Nd 0.0000 -1.2518 5.8547
Pt 2.5473 0.5119 5.3254
Nd 0.0000 2.1114 7.4923
Ru 2.5473 0.0000 0.0000
Nd 0.0000 5.3323 1.0876
Nd 0.0000 1.4299 3.7444
Pt 0.0000 4.2917 3.9771
CELL_PARAMETERS angstrom
5.0946 0.0000 0.0000
0.0000 6.9973 0.6794
-2.5473 -2.1937 8.6231

(18)
! NdRuPt GGA-PBE relaxed; values from VASP
! V = 20.1 A^3/atom
! SG = C2/m (12)
! E_form = -0.27 eV/atom
&SYSTEM
  ibrav = 0, nat = 6, ntyp = 3
/
ATOMIC_SPECIES
Ru 101.07 Ru.upf
Pt 195.08 Pt.upf
Nd 144.24 Nd.upf
ATOMIC_POSITIONS angstrom
Ru 0.9508 -4.6746 -1.2795
Pt 3.1229 -0.2157 -0.0278
Nd 4.9145 -3.3286 -0.5152
Pt 1.6756 -2.4932 0.8810
Nd -1.5633 -1.6577 2.2771
Ru 2.4004 -0.3117 3.0415
CELL_PARAMETERS angstrom
-3.2165 0.1303 4.1254
0.3220 -4.6853 -2.3078
6.2457 -0.4313 -0.0556

(19)
! Nd2Si4RuPt3 GGA-PBE relaxed; values from VASP
! V = 17.7 A^3/atom
! formation energy from raw total energies = -1083.1 meV/atom
! SG = P-4m2 (115)
&SYSTEM
  ibrav = 0, nat = 10, ntyp = 4
/
ATOMIC_SPECIES
Si 28.09 Si.upf
Nd 144.24 Nd.upf
Pt 195.08 Pt.upf
Ru 101.07 Ru.upf
ATOMIC_POSITIONS angstrom
Si 2.1052 2.1052 0.0000
Nd 0.0000 2.1052 7.5515
Si 2.1052 0.0000 6.2802
Si 0.0000 0.0000 0.0000
Si 0.0000 2.1052 3.7145
Nd 2.1052 0.0000 2.4433
Pt 0.0000 2.1052 1.2470
Ru 2.1052 2.1052 4.9974
Pt 0.0000 0.0000 4.9974
Pt 2.1052 0.0000 8.7477
CELL_PARAMETERS angstrom
4.2104 0.0000 0.0000
0.0000 4.2104 0.0000
0.0000 0.0000 9.9948

(20)
! NdThRuPt GGA-PBE relaxed; values from VASP
! V = 23.5 A^3/atom
! SG = Amm2 (38)
! E_form = -0.79 eV/atom
&SYSTEM
  ibrav = 0, nat = 4, ntyp = 4
/
ATOMIC_SPECIES
Ru 101.07 Ru.upf
Nd 144.24 Nd.upf
Pt 195.08 Pt.upf
Th 232.04 Th.upf
ATOMIC_POSITIONS angstrom
Ru -1.3700 -2.7178 -0.4082
Nd 0.5783 -4.7587 -1.3344
Pt 3.1074 -3.2551 -1.4772
Th 1.0126 -1.0608 -0.4814
CELL_PARAMETERS angstrom
-1.4188 -2.5607 2.6582
-2.7596 -1.3679 -2.7907
4.4628 -2.6515 -3.1134

(21)
! NdThRuPt GGA-PBE relaxed; values from VASP
! V = 22.8 A^3/atom
! SG = F-43m (216)
! E_form = -0.63 eV/atom
&SYSTEM
  ibrav = 0, nat = 4, ntyp = 4
/
ATOMIC_SPECIES
Th 232.04 Th.upf
Ru 101.07 Ru.upf
Pt 195.08 Pt.upf
Nd 144.24 Nd.upf
ATOMIC_POSITIONS angstrom
Th 2.5271 1.4590 1.0317
Ru 0.0000 0.0000 0.0000
Pt 5.0542 2.9180 2.0634
Nd 7.5813 4.3770 3.0950
CELL_PARAMETERS angstrom
5.0542 0.0000 0.0000
2.5271 4.3770 0.0000
2.5271 1.4590 4.1267

(22)
! NdTmRuPt GGA-PBE relaxed; values from VASP
! V = 21.1 A^3/atom
! SG = F-43m (216)
! E_form = -0.68 eV/atom
&SYSTEM
  ibrav = 0, nat = 4, ntyp = 4
/
ATOMIC_SPECIES
Pt 195.08 Pt.upf
Ru 101.07 Ru.upf
Tm 168.93 Tm.upf
Nd 144.24 Nd.upf
ATOMIC_POSITIONS angstrom
Pt 2.4623 1.4216 1.0052
Ru 7.3870 4.2649 3.0157
Tm 4.9247 2.8433 2.0105
Nd 0.0000 0.0000 0.0000
CELL_PARAMETERS angstrom
4.9247 0.0000 0.0000
2.4623 4.2649 0.0000
2.4623 1.4216 4.0210

(23)
! NdYRuPt GGA-PBE relaxed; values from VASP
! V = 21.6 A^3/atom
! SG = F-43m (216)
! E_form = -0.64 eV/atom
&SYSTEM
  ibrav = 0, nat = 4, ntyp = 4
/
ATOMIC_SPECIES
Y 88.91 Y.upf
Pt 195.08 Pt.upf
Ru 101.07 Ru.upf
Nd 144.24 Nd.upf
ATOMIC_POSITIONS angstrom
Y 4.9629 2.8654 2.0261
Pt 7.4444 4.2980 3.0392
Ru 2.4815 1.4327 1.0131
Nd 0.0000 0.0000 0.0000
CELL_PARAMETERS angstrom
4.9629 0.0000 0.0000
2.4815 4.2980 0.0000
2.4815 1.4327 4.0522